Computed, not measured: CaIr3Pb after structural relaxation at the GGA-PBE level of DFT.

a b c (Å): 5.023 5.023 5.023
angles (deg): 90.00 90.00 90.00
Each line ends with the local moment (μB).
Fractional coordinates of all 5 atoms:
Pb 0.000 0.000 0.000  -0.02
Ca 0.500 0.500 0.500  -0.01
Ir 0.000 0.500 0.000  0.36
Ir 0.000 0.000 0.500  0.42
Ir 0.500 0.000 0.000  0.25

Computed properties:
As for the space group: Pm-3m (221). The calculation puts the formation energy at 1.35 eV per atom.

Computed, not measured: NaNd3Ho3Se8 after structural relaxation at the GGA-PBE level of DFT.

a b c (Å): 8.237 8.237 8.281
angles (deg): 119.82 90.00 120.00
Fractional coordinates of all 15 atoms:
Na 0.000 0.000 0.500
Nd 0.000 0.000 0.000
Nd 0.000 0.500 0.000
Nd 0.500 0.500 0.000
Ho 0.500 0.000 0.500
Ho 0.500 0.500 0.500
Ho 0.000 0.500 0.500
Se 0.254 0.509 0.263
Se 0.746 0.491 0.737
Se 0.747 0.494 0.256
Se 0.253 0.506 0.744
Se 0.747 0.009 0.256
Se 0.253 0.991 0.744
Se 0.262 0.009 0.256
Se 0.738 0.991 0.744

Computed properties:
As for the space group: R-3m (166). For the formation energy (no corrections), the calculation gives -1.788 eV/atom.

Computed, not measured: Cd3SbAs after structural relaxation at the GGA-PBE level of DFT.

a b c (Å): 4.738 6.830 11.337
angles (deg): 124.21 90.00 90.00
Fractional coordinates of all 10 atoms:
Cd 0.750 0.118 0.358
Cd 0.750 0.649 0.860
Cd 0.250 0.887 0.140
Cd 0.250 0.418 0.642
Cd 0.250 0.937 0.676
Cd 0.750 0.599 0.324
Sb 0.750 0.110 0.613
Sb 0.250 0.426 0.387
As 0.250 0.872 0.886
As 0.750 0.664 0.114

Computed properties:
As for the space group: P2_1/m (11). For the formation energy (no corrections), the calculation gives -0.015 eV/atom.

Computed, not measured: K2MnRhCl after structural relaxation at the GGA-PBE level of DFT.

a b c (Å): 5.905 4.566 5.905
angles (deg): 90.00 90.00 90.00
Each line ends with the local moment (μB).
Fractional coordinates of all 5 atoms:
K 0.000 0.000 0.500  -0.01
K 0.500 0.000 0.000  -0.01
Mn 0.500 0.500 0.500  4.32
Rh 0.000 0.500 0.000  0.44
Cl 0.000 0.000 0.000  0.03

Computed properties:
As for the space group: P4/mmm (123). For the formation energy (no corrections), the calculation gives 0.336 eV/atom.

Computed, not measured: MoOsIN2 after structural relaxation at the GGA-PBE level of DFT.

a b c (Å): 3.906 3.906 5.883
angles (deg): 90.00 90.00 90.00
Each line ends with the local moment (μB).
Fractional coordinates of all 5 atoms:
I 0.000 0.000 0.500  0.03
Mo 0.000 0.000 0.000  -0.03
Os 0.500 0.500 0.500  1.94
N 0.000 0.500 0.000  0.08
N 0.500 0.000 0.000  0.08

Computed properties:
As for the space group: P4/mmm (123). For the formation energy (no corrections), the calculation gives 1.501 eV/atom.

Record-wise final energy values, in eV/cell: -25.6; -84.0; -23.2; -18.9; -32.8